A plane-wave DFT calculation with PBE-GGA was carried out for a relaxed structure of SrNbCr2.

Structure (POSCAR):
```
SrNbCr2
1.0
5.033 0.000 0.000
0.000 5.033 0.000
2.516 2.516 8.451
Sr Nb Cr
2 2 4
Direct
0.500 0.500 0.000
0.250 0.750 0.500
0.000 0.000 0.000
0.750 0.250 0.500
0.875 0.125 0.250
0.875 0.625 0.250
0.375 0.125 0.750
0.875 0.125 0.750
```

Properties
ΔE_f, eV per atom: 1.206
Calculated density, Mg/m³: 4.41
Volume, Å³ per atom: 26.759
Polymorph energy (0 for the lowest one), meV/atom: 284
D(E_F), states/eV/cell: 5.9
Total magnetization, μB per cell: 8.43